Record 1
Pm2RuO8: relaxed, PBE.

The structure in POSCAR format:
```
Pm2RuO8
1.0
3.3653 -5.6502 0.0000
3.3653 5.6502 0.0000
-3.2029 0.0000 3.7702
Pm Ru O
2 1 8
Direct
0.1977 0.8023 0.0000
0.8023 0.1977 0.0000
0.5000 0.5000 0.5000
0.1660 0.1660 0.3396
0.2146 0.7854 0.5000
0.2783 0.5261 0.1696
0.4739 0.7217 0.8304
0.5261 0.2783 0.1696
0.7217 0.4739 0.8304
0.7854 0.2146 0.5000
0.8340 0.8340 0.6604
```

Results
DFT total energy ... -6.8451 eV/atom
Formation energy without anion corrections ... -1.532 eV/atom



Record 2
Pm2RuO6: relaxed, PBE.

The structure in POSCAR format:
```
Pm2RuO6
1.0
5.4598 0.0000 0.0000
0.0000 6.1552 0.0000
-4.6856 0.0000 7.4422
Pm Ru O
4 2 12
Direct
0.2107 0.0973 0.2485
0.2107 0.4027 0.7485
0.7893 0.5973 0.2515
0.7893 0.9027 0.7515
0.5000 0.0000 0.0000
0.5000 0.5000 0.5000
0.1451 0.1540 0.9462
0.1451 0.3460 0.4462
0.2971 0.7244 0.9313
0.2971 0.7756 0.4313
0.3975 0.0497 0.7580
0.3975 0.4503 0.2580
0.6025 0.5497 0.7420
0.6025 0.9503 0.2420
0.7029 0.2244 0.5687
0.7029 0.2756 0.0687
0.8549 0.6540 0.5538
0.8549 0.8460 0.0538
```

Results
DFT total energy ... -7.6521 eV/atom
Formation energy without anion corrections ... -2.260 eV/atom



Record 3
Pm2Ru2O7: relaxed, PBE.

The structure in POSCAR format:
```
Pm2Ru2O7
1.0
0.0000 5.2099 5.2099
5.2099 0.0000 5.2099
5.2099 5.2099 0.0000
Pm Ru O
4 4 14
Direct
0.0000 0.0000 0.0000
0.0000 0.0000 0.5000
0.0000 0.5000 0.0000
0.5000 0.0000 0.0000
0.0000 0.5000 0.5000
0.5000 0.0000 0.5000
0.5000 0.5000 0.0000
0.5000 0.5000 0.5000
0.1250 0.1250 0.1250
0.1680 0.1680 0.5820
0.1680 0.5820 0.1680
0.1680 0.5820 0.5820
0.4180 0.4180 0.8320
0.4180 0.8320 0.4180
0.4180 0.8320 0.8320
0.5820 0.1680 0.1680
0.5820 0.1680 0.5820
0.5820 0.5820 0.1680
0.8320 0.4180 0.4180
0.8320 0.4180 0.8320
0.8320 0.8320 0.4180
0.8750 0.8750 0.8750
```

Results
DFT total energy ... -7.7880 eV/atom
Formation energy without anion corrections ... -2.083 eV/atom



Record 4
PmSc2RuO8: relaxed, PBE.

The structure in POSCAR format:
```
PmSc2RuO8
1.0
4.8857 0.0000 0.0000
0.0000 6.5992 0.0000
-0.0843 0.0000 4.8993
Pm Sc Ru O
1 2 1 8
Direct
0.0000 0.0000 0.0000
0.5000 0.2432 0.5000
0.5000 0.7568 0.5000
0.0000 0.5000 0.0000
0.1975 0.2931 0.1951
0.1975 0.7069 0.1951
0.2744 0.5000 0.7240
0.3205 0.0000 0.6763
0.6795 0.0000 0.3237
0.7256 0.5000 0.2760
0.8025 0.2931 0.8049
0.8025 0.7069 0.8049
```

Results
DFT total energy ... -7.8650 eV/atom
Formation energy without anion corrections ... -2.335 eV/atom



Record 5
Pm2ScRuO8: relaxed, PBE.

The structure in POSCAR format:
```
Pm2ScRuO8
1.0
4.7358 0.0000 0.0000
-0.3217 5.1347 0.0000
-0.1279 -0.0724 6.8119
Pm Sc Ru O
2 1 1 8
Direct
0.0781 0.0333 0.2493
0.9219 0.9667 0.7507
0.5000 0.5000 0.0000
0.5000 0.5000 0.5000
0.1871 0.2730 0.5385
0.1899 0.2200 0.9671
0.3201 0.6543 0.2734
0.3760 0.7357 0.7098
0.6240 0.2643 0.2902
0.6799 0.3457 0.7266
0.8101 0.7800 0.0329
0.8129 0.7270 0.4615
```

Results
DFT total energy ... -7.6692 eV/atom
Formation energy without anion corrections ... -2.271 eV/atom



Record 6
Pm2SmRuO8: relaxed, PBE.

The structure in POSCAR format:
```
Pm2SmRuO8
1.0
5.1634 0.0000 0.0000
0.0000 6.9412 0.0000
-0.0093 0.0000 5.1691
Pm Sm Ru O
2 1 1 8
Direct
0.0000 0.2490 0.0000
0.0000 0.7510 0.0000
0.5000 0.5000 0.5000
0.5000 0.0000 0.5000
0.1920 0.5000 0.1904
0.2432 0.0000 0.2418
0.3192 0.2060 0.6792
0.3192 0.7940 0.6792
0.6808 0.2060 0.3208
0.6808 0.7940 0.3208
0.7568 0.0000 0.7582
0.8080 0.5000 0.8096
```

Results
DFT total energy ... -7.5600 eV/atom
Formation energy without anion corrections ... -2.296 eV/atom



Record 7
PmSmRuO6: relaxed, PBE.

The structure in POSCAR format:
```
PmSmRuO6
1.0
5.6081 0.0000 0.0000
-2.8041 4.8568 0.0000
0.0000 0.0000 9.6668
Pm Sm Ru O
2 2 2 12
Direct
0.0000 0.0000 0.0000
0.0000 0.0000 0.5000
0.3333 0.6667 0.2500
0.6667 0.3333 0.7500
0.3333 0.6667 0.7500
0.6667 0.3333 0.2500
0.0503 0.3763 0.6360
0.0503 0.6740 0.8640
0.3260 0.3763 0.8640
0.3260 0.9497 0.6360
0.3763 0.0503 0.1360
0.3763 0.3260 0.3640
0.6237 0.6740 0.6360
0.6237 0.9497 0.8640
0.6740 0.0503 0.3640
0.6740 0.6237 0.1360
0.9497 0.3260 0.1360
0.9497 0.6237 0.3640
```

Results
DFT total energy ... -7.5840 eV/atom
Formation energy without anion corrections ... -2.196 eV/atom



Record 8
PmSm2RuO8: relaxed, PBE.

The structure in POSCAR format:
```
PmSm2RuO8
1.0
3.6424 -3.6442 0.0000
3.6424 3.6442 0.0000
0.0000 0.0000 6.9363
Pm Sm Ru O
1 2 1 8
Direct
0.0000 0.0000 0.0000
0.5000 0.5000 0.2509
0.5000 0.5000 0.7491
0.0000 0.0000 0.5000
0.1812 0.1812 0.2950
0.1812 0.1812 0.7050
0.2587 0.7413 0.5000
0.3106 0.6894 0.0000
0.6894 0.3106 0.0000
0.7413 0.2587 0.5000
0.8188 0.8188 0.2950
0.8188 0.8188 0.7050
```

Results
DFT total energy ... -7.5651 eV/atom
Formation energy without anion corrections ... -2.304 eV/atom



Record 9
SrPm2RuO8: relaxed, PBE.

The structure in POSCAR format:
```
SrPm2RuO8
1.0
4.3083 0.0000 0.0000
-0.0380 5.2525 0.0000
-2.0897 -0.0229 6.7869
Sr Pm Ru O
1 2 1 8
Direct
0.0000 0.0000 0.0000
0.3715 0.4903 0.7039
0.6285 0.5097 0.2961
0.0000 0.0000 0.5000
0.1712 0.5061 0.9985
0.1782 0.7057 0.3962
0.2038 0.2371 0.3748
0.3540 0.0181 0.7553
0.6460 0.9819 0.2447
0.7962 0.7629 0.6252
0.8218 0.2943 0.6038
0.8288 0.4939 0.0015
```

Results
DFT total energy ... -7.1494 eV/atom
Formation energy without anion corrections ... -2.139 eV/atom



Record 10
SrPmRuO6: relaxed, PBE.

The structure in POSCAR format:
```
SrPmRuO6
1.0
5.6904 0.0000 0.0000
-2.8452 4.9281 0.0000
0.0000 0.0000 10.1619
Sr Pm Ru O
2 2 2 12
Direct
0.0000 0.0000 0.0000
0.0000 0.0000 0.5000
0.3333 0.6667 0.2500
0.6667 0.3333 0.7500
0.3333 0.6667 0.7500
0.6667 0.3333 0.2500
0.0535 0.3915 0.6431
0.0535 0.6620 0.8569
0.3380 0.3915 0.8569
0.3380 0.9465 0.6431
0.3915 0.0535 0.1431
0.3915 0.3380 0.3569
0.6085 0.6620 0.6431
0.6085 0.9465 0.8569
0.6620 0.0535 0.3569
0.6620 0.6085 0.1431
0.9465 0.3380 0.1431
0.9465 0.6085 0.3569
```

Results
DFT total energy ... -6.9611 eV/atom
Formation energy without anion corrections ... -1.910 eV/atom



Record 11
Tb2PmRuO8: relaxed, PBE.

The structure in POSCAR format:
```
Tb2PmRuO8
1.0
5.0795 0.0000 0.0000
0.0000 6.8608 0.0000
-0.0098 0.0000 5.0932
Tb Pm Ru O
2 1 1 8
Direct
0.0000 0.2499 0.0000
0.0000 0.7501 0.0000
0.5000 0.0000 0.5000
0.5000 0.5000 0.5000
0.1886 0.0000 0.8153
0.2376 0.5000 0.7650
0.3141 0.2948 0.3173
0.3141 0.7052 0.3173
0.6859 0.2948 0.6827
0.6859 0.7052 0.6827
0.7624 0.5000 0.2350
0.8114 0.0000 0.1847
```

Results
DFT total energy ... -7.6030 eV/atom
Formation energy without anion corrections ... -2.357 eV/atom



Record 12
PmTcRuO6: relaxed, PBE.

The structure in POSCAR format:
```
PmTcRuO6
1.0
5.4147 0.0000 0.0000
-2.7074 4.6893 0.0000
0.0000 0.0000 8.5245
Pm Tc Ru O
2 2 2 12
Direct
0.3333 0.6667 0.2500
0.6667 0.3333 0.7500
0.3333 0.6667 0.7500
0.6667 0.3333 0.2500
0.0000 0.0000 0.0000
0.0000 0.0000 0.5000
0.0568 0.3512 0.6194
0.0568 0.7056 0.8806
0.2944 0.3512 0.8806
0.2944 0.9432 0.6194
0.3512 0.0568 0.1194
0.3512 0.2944 0.3806
0.6488 0.7056 0.6194
0.6488 0.9432 0.8806
0.7056 0.0568 0.3806
0.7056 0.6488 0.1194
0.9432 0.2944 0.1194
0.9432 0.6488 0.3806
```

Results
DFT total energy ... -7.6626 eV/atom
Formation energy without anion corrections ... -1.647 eV/atom



Record 13
Pm2TcRuO8: relaxed, PBE.

The structure in POSCAR format:
```
Pm2TcRuO8
1.0
3.3369 -3.4883 0.0000
3.3369 3.4883 0.0000
-0.0051 0.0000 6.7851
Pm Tc Ru O
2 1 1 8
Direct
0.0662 0.0662 0.2453
0.9338 0.9338 0.7547
0.5000 0.5000 0.5000
0.5000 0.5000 0.0000
0.2178 0.2178 0.9527
0.2280 0.2280 0.5452
0.2887 0.6298 0.2566
0.3702 0.7113 0.7434
0.6298 0.2887 0.2566
0.7113 0.3702 0.7434
0.7720 0.7720 0.4548
0.7822 0.7822 0.0473
```

Results
DFT total energy ... -7.7106 eV/atom
Formation energy without anion corrections ... -1.977 eV/atom



Record 14
PmTi2RuO8: relaxed, PBE.

The structure in POSCAR format:
```
PmTi2RuO8
1.0
3.6581 -3.2174 0.0000
3.6581 3.2174 0.0000
-0.7539 0.0000 6.5830
Pm Ti Ru O
1 2 1 8
Direct
0.0000 0.0000 0.0000
0.4446 0.4446 0.7631
0.5554 0.5554 0.2369
0.0000 0.0000 0.5000
0.2132 0.7840 0.2840
0.2160 0.7868 0.7160
0.2653 0.2653 0.5410
0.3246 0.3246 0.9892
0.6754 0.6754 0.0108
0.7347 0.7347 0.4590
0.7840 0.2132 0.2840
0.7868 0.2160 0.7160
```

Results
DFT total energy ... -8.1836 eV/atom
Formation energy without anion corrections ... -2.393 eV/atom



Record 15
PmTl3Ru2O9: relaxed, PBE.

The structure in POSCAR format:
```
PmTl3Ru2O9
1.0
5.8219 0.0000 0.0000
-2.9109 5.0419 0.0000
0.0000 0.0000 7.2811
Pm Tl Ru O
1 3 2 9
Direct
0.0000 0.0000 0.0000
0.0000 0.0000 0.5000
0.3333 0.6667 0.1696
0.6667 0.3333 0.8304
0.3333 0.6667 0.6521
0.6667 0.3333 0.3479
0.0000 0.5000 0.5000
0.1803 0.3606 0.8026
0.1803 0.8197 0.8026
0.3606 0.1803 0.1974
0.5000 0.0000 0.5000
0.5000 0.5000 0.5000
0.6394 0.8197 0.8026
0.8197 0.1803 0.1974
0.8197 0.6394 0.1974
```

Results
DFT total energy ... -6.1812 eV/atom
Formation energy without anion corrections ... -1.180 eV/atom



Record 16
PmTlRuO6: relaxed, PBE.

The structure in POSCAR format:
```
PmTlRuO6
1.0
5.6266 0.0000 0.0000
-2.8133 4.8728 0.0000
0.0000 0.0000 4.6574
Pm Tl Ru O
1 1 1 6
Direct
0.0000 0.0000 0.0000
0.3333 0.6667 0.5000
0.6667 0.3333 0.0000
0.3810 0.0495 0.7627
0.3810 0.3315 0.2373
0.6685 0.0495 0.2373
0.6685 0.6190 0.7627
0.9504 0.3315 0.7627
0.9504 0.6190 0.2373
```

Results
DFT total energy ... -6.4624 eV/atom
Formation energy without anion corrections ... -1.336 eV/atom



Record 17
Pm2TlRuO8: relaxed, PBE.

The structure in POSCAR format:
```
Pm2TlRuO8
1.0
3.2659 -3.5139 0.0000
3.2659 3.5139 0.0000
-0.4571 0.0000 7.4364
Pm Tl Ru O
2 1 1 8
Direct
0.0612 0.0612 0.2600
0.9388 0.9388 0.7400
0.5000 0.5000 0.0000
0.5000 0.5000 0.5000
0.1938 0.1938 0.9766
0.2244 0.2244 0.5509
0.2557 0.6249 0.3086
0.3751 0.7443 0.6914
0.6249 0.2557 0.3086
0.7443 0.3751 0.6914
0.7756 0.7756 0.4491
0.8062 0.8062 0.0234
```

Results
DFT total energy ... -6.8232 eV/atom
Formation energy without anion corrections ... -1.756 eV/atom



Record 18
Pm2Tl3RuO6: relaxed, PBE.

The structure in POSCAR format:
```
Pm2Tl3RuO6
1.0
3.0029 -5.1018 0.0000
3.0029 5.1018 0.0000
-2.9947 0.0000 6.9925
Pm Tl Ru O
2 3 1 6
Direct
0.1674 0.8326 0.0000
0.8326 0.1674 0.0000
0.0000 0.0000 0.5000
0.3394 0.6606 0.5000
0.6606 0.3394 0.5000
0.5000 0.5000 0.0000
0.1255 0.4211 0.8469
0.2874 0.2874 0.1595
0.4211 0.1255 0.8469
0.5789 0.8745 0.1531
0.7126 0.7126 0.8405
0.8745 0.5789 0.1531
```

Results
DFT total energy ... -6.2820 eV/atom
Formation energy without anion corrections ... -1.647 eV/atom



Record 19
Pm2TlRuO5: relaxed, PBE.

The structure in POSCAR format:
```
Pm2TlRuO5
1.0
6.8670 0.0000 0.0000
0.0000 6.8670 0.0000
0.0000 0.0000 5.8505
Pm Tl Ru O
4 2 2 10
Direct
0.1779 0.3221 0.0000
0.3221 0.8221 0.0000
0.6779 0.1779 0.0000
0.8221 0.6779 0.0000
0.0000 0.0000 0.5000
0.5000 0.5000 0.5000
0.0000 0.5000 0.5000
0.5000 0.0000 0.5000
0.0000 0.0000 0.0000
0.1314 0.6314 0.2447
0.1314 0.6314 0.7553
0.3686 0.1314 0.2447
0.3686 0.1314 0.7553
0.5000 0.5000 0.0000
0.6314 0.8686 0.2447
0.6314 0.8686 0.7553
0.8686 0.3686 0.2447
0.8686 0.3686 0.7553
```

Results
DFT total energy ... -7.2110 eV/atom
Formation energy without anion corrections ... -2.107 eV/atom